Below is a geometry-optimized ZnPW structure, with properties calculated at the PBE-GGA level. Values from VASP.

```
&SYSTEM
  ibrav = 0, nat = 3, ntyp = 3
/
ATOMIC_SPECIES
Zn 65.41 Zn.upf
P 30.97 P.upf
W 183.84 W.upf
ATOMIC_POSITIONS crystal
Zn 0.0000 0.0000 0.0000
P 0.3333 0.6667 0.3595
W 0.6667 0.3333 0.6358
CELL_PARAMETERS angstrom
3.0228 0.0000 0.0000
-1.5114 2.6178 0.0000
0.0000 0.0000 6.0146
```

ΔE_f (eV/atom): 0.131
M_tot (μB per formula unit): 0.00
Density (g/cm3): 9.78
D(E_F) (states/eV/f.u.): 1.90